No. 1
Computed, not measured: a relaxed Zr3Ta crystal at the GGA-PBE level of DFT.

Unit cell a=3.074 b=4.887 c=5.893 alpha=90.00 beta=102.39 gamma=90.00
Fractional coordinates of all 4 atoms:
1 Zr 0.000 0.000 0.000
2 Zr 0.308 0.500 0.737
3 Zr 0.692 0.500 0.263
4 Ta 0.500 0.000 0.500

Uncorrected energy (eV per formula unit): -37.01
ρ (g/cm3): 8.7
ΔE_f (eV/atom): 0.1209
Relative energy among the computed polymorphs (eV/atom): 0.018
DOS(E_F) (states/eV/cell): 6.02


No. 2
Computed, not measured: a relaxed LiMnCu crystal at the GGA-PBE level of DFT.

Unit cell a=7.035 b=6.827 c=2.549 alpha=84.02 beta=74.85 gamma=21.12
Fractional coordinates of all 3 atoms:
1 Li 0.000 0.000 0.000
2 Mn 0.328 0.328 0.672
3 Cu 0.665 0.665 0.335

Uncorrected energy (eV per formula unit): -14.47
ρ (g/cm3): 5.3
ΔE_f (eV/atom): 0.2352
Relative energy among the computed polymorphs (eV/atom): 0.069
DOS(E_F) (states/eV/cell): 2.07


No. 3
Computed, not measured: a relaxed Co2TcIr crystal at the GGA-PBE level of DFT.

Unit cell a=4.164 b=4.164 c=4.164 alpha=60.00 beta=60.00 gamma=60.00
Fractional coordinates of all 4 atoms:
1 Co 0.250 0.250 0.250
2 Co 0.750 0.750 0.750
3 Tc 0.000 0.000 0.000
4 Ir 0.500 0.500 0.500

Uncorrected energy (eV per formula unit): -32.63
ρ (g/cm3): 13.3
ΔE_f (eV/atom): 0.2016
Relative energy among the computed polymorphs (eV/atom): 0.220
DOS(E_F) (states/eV/cell): 7.28


No. 4
Computed, not measured: a relaxed Cs2KAl3F12 crystal at the GGA-PBE level of DFT.

Unit cell a=7.593 b=7.593 c=7.593 alpha=56.56 beta=56.56 gamma=56.56
Fractional coordinates of all 18 atoms:
1 Cs 0.120 0.120 0.120
2 Cs 0.880 0.880 0.880
3 K 0.500 0.500 0.500
4 Al 0.000 0.500 0.500
5 Al 0.500 0.000 0.500
6 Al 0.500 0.500 0.000
7 F 0.072 0.603 0.603
8 F 0.215 0.215 0.588
9 F 0.215 0.588 0.215
10 F 0.397 0.397 0.928
11 F 0.397 0.928 0.397
12 F 0.412 0.785 0.785
13 F 0.588 0.215 0.215
14 F 0.603 0.072 0.603
15 F 0.603 0.603 0.072
16 F 0.785 0.412 0.785
17 F 0.785 0.785 0.412
18 F 0.928 0.397 0.397

Uncorrected energy (eV per formula unit): -97.30
ΔE_f (raw) (meV per atom): -3379
ρ (g/cm3): 3.6
DOS(E_F) (states/eV/cell): 0.00


No. 5
Computed, not measured: a relaxed Rb3PbCl5 crystal at the GGA-PBE level of DFT.

Unit cell a=8.970 b=15.946 c=8.479 alpha=90.00 beta=90.00 gamma=90.00
Fractional coordinates of all 36 atoms:
1 Rb 0.081 0.250 0.138
2 Rb 0.238 0.046 0.467
3 Rb 0.238 0.454 0.467
4 Rb 0.262 0.546 0.967
5 Rb 0.262 0.954 0.967
6 Rb 0.419 0.750 0.638
7 Rb 0.581 0.250 0.362
8 Rb 0.738 0.046 0.033
9 Rb 0.738 0.454 0.033
10 Rb 0.762 0.546 0.533
11 Rb 0.762 0.954 0.533
12 Rb 0.919 0.750 0.862
13 Pb 0.060 0.750 0.359
14 Pb 0.440 0.250 0.859
15 Pb 0.560 0.750 0.141
16 Pb 0.940 0.250 0.641
17 Cl 0.044 0.113 0.825
18 Cl 0.044 0.387 0.825
19 Cl 0.109 0.626 0.626
20 Cl 0.109 0.874 0.626
21 Cl 0.224 0.250 0.524
22 Cl 0.276 0.750 0.024
23 Cl 0.391 0.126 0.126
24 Cl 0.391 0.374 0.126
25 Cl 0.456 0.613 0.325
26 Cl 0.456 0.887 0.325
27 Cl 0.544 0.113 0.675
28 Cl 0.544 0.387 0.675
29 Cl 0.609 0.626 0.874
30 Cl 0.609 0.874 0.874
31 Cl 0.724 0.250 0.976
32 Cl 0.776 0.750 0.476
33 Cl 0.891 0.126 0.374
34 Cl 0.891 0.374 0.374
35 Cl 0.956 0.613 0.175
36 Cl 0.956 0.887 0.175

Uncorrected energy (eV per formula unit): -31.08
ΔE_f (raw) (meV per atom): -1693
ρ (g/cm3): 3.5
DOS(E_F) (states/eV/cell): 0.00


No. 6
Computed, not measured: a relaxed Ti6Ge5 crystal at the GGA-PBE level of DFT.

Unit cell a=9.373 b=9.373 c=9.373 alpha=146.30 beta=126.53 gamma=64.71
Fractional coordinates of all 22 atoms:
1 Ti 0.000 0.000 0.500
2 Ti 0.000 0.500 0.000
3 Ti 0.125 0.411 0.714
4 Ti 0.155 0.155 0.000
5 Ti 0.303 0.589 0.714
6 Ti 0.500 0.000 0.000
7 Ti 0.500 0.253 0.753
8 Ti 0.500 0.500 0.500
9 Ti 0.500 0.747 0.247
10 Ti 0.697 0.411 0.286
11 Ti 0.845 0.845 0.000
12 Ti 0.875 0.589 0.286
13 Ge 0.000 0.232 0.232
14 Ge 0.000 0.768 0.768
15 Ge 0.201 0.894 0.307
16 Ge 0.211 0.711 0.500
17 Ge 0.333 0.333 0.000
18 Ge 0.413 0.106 0.307
19 Ge 0.587 0.894 0.693
20 Ge 0.667 0.667 0.000
21 Ge 0.789 0.289 0.500
22 Ge 0.799 0.106 0.693

Uncorrected energy (eV per formula unit): -76.26
ρ (g/cm3): 6.0
ΔE_f (eV/atom): -0.5277
Relative energy among the computed polymorphs (eV/atom): 0.138
DOS(E_F) (states/eV/cell): 19.58


Q: Which of these has the highest DOS(E_F)?
A: Ti6Ge5


Q: DOS(E_F) of number 5 (Rb3PbCl5)?
A: 0.00 states/eV/cell